one.
10
Lattice="4.489 0.000 6.200 -2.245 3.888 6.200 -2.245 -3.888 6.200" Properties=species:S:1:pos:R:3 comment="PBE Ca3CdP, optimized geometry" volume_a3_per_atom=32.5 rho_g_cm3=2.70 m_tot_mub_per_cell=0.00 pbc="T T T"
P 0.000 0.000 18.532
P 0.000 0.000 9.232
Ca -2.245 0.526 10.782
Ca -0.667 2.206 7.681
Ca -1.577 -1.681 7.681
Ca 2.244 -0.526 7.681
Ca 1.578 1.682 10.782
Ca 0.667 -2.207 10.782
Cd 0.000 0.000 4.586
Cd 0.000 0.000 13.887

***

two.
10
Lattice="4.988 0.000 4.659 -2.494 4.320 4.659 -2.494 -4.320 4.659" Properties=species:S:1:pos:R:3 comment="PBE Ca3CdP, optimized geometry" volume_a3_per_atom=30.1 rho_g_cm3=2.91 m_tot_mub_per_cell=0.00 pbc="T T T"
P 0.000 0.000 3.494
P 0.000 0.000 10.482
Ca 2.562 1.401 8.153
Ca -0.068 -2.919 8.153
Ca -2.494 1.518 8.153
Ca 2.494 -1.518 5.824
Ca 0.068 2.919 5.824
Ca -2.562 -1.401 5.824
Cd 0.000 0.000 0.000
Cd 0.000 0.000 6.988

***

three.
10
Lattice="3.505 -7.542 0.000 3.505 7.542 0.000 0.000 0.000 5.425" Properties=species:S:1:pos:R:3 comment="PBE Ca3CdP, optimized geometry" volume_a3_per_atom=28.7 rho_g_cm3=3.05 m_tot_mub_per_cell=0.00 pbc="T T T"
P 3.505 4.908 1.356
P 3.505 -4.908 4.069
Ca 5.225 2.613 1.356
Ca 1.784 2.613 1.356
Ca 5.225 -2.613 4.069
Ca 1.784 -2.613 4.069
Ca 0.000 0.000 0.000
Ca 0.000 0.000 2.712
Cd 3.505 -0.540 1.356
Cd 3.505 0.540 4.069

***

What is the stability order? It is one, two, three, from most stable to least stable.